## Zn5Ga2Pt4 (PBE)

Data for crystalline Zn5Ga2Pt4 at its relaxed geometry.

a b c (Å): 2.7775 8.3172 8.4719
angles (deg): 67.95 90.00 90.00
Fractional positions:
Zn: 0.0000 0.3993 0.3549
Zn: 0.0000 0.7952 0.0672
Zn: 0.0000 0.5000 0.0000
Zn: 0.0000 0.2048 0.9328
Zn: 0.0000 0.6007 0.6451
Ga: 0.0000 0.0513 0.6626
Ga: 0.0000 0.9487 0.3374
Pt: 0.5000 0.3194 0.6482
Pt: 0.5000 0.7728 0.8078
Pt: 0.5000 0.6806 0.3518
Pt: 0.5000 0.2272 0.1922

Summary:
Calculated formation energy (eV per atom): -0.44

## YMnTc2 (PBE)

Data for crystalline YMnTc2 at its relaxed geometry.

a b c (Å): 7.2234 7.2234 5.7971
angles (deg): 51.46 51.46 90.00
Fractional positions:
Y: 0.0000 0.0000 0.0000
Y: 0.7500 0.2500 0.5000
Mn: 0.5000 0.5000 0.0000
Mn: 0.2500 0.7500 0.5000
Tc: 0.5557 0.1250 0.2500
Tc: 0.1943 0.6250 0.2500
Tc: 0.3750 0.4443 0.7500
Tc: 0.8750 0.8057 0.7500

Summary:
Calculated formation energy (eV per atom): 0.47

## ThZnCo2H8 (PBE)

Data for crystalline ThZnCo2H8 at its relaxed geometry.

a b c (Å): 4.2699 4.2699 6.2174
angles (deg): 90.00 90.00 120.00
Site moments in Bohr magnetons follow the coordinates.
Fractional positions:
Th: 0.0000 0.0000 0.0000  0.05
Zn: 0.0000 0.0000 0.5000  0.00
Co: 0.6667 0.3333 0.3108  0.47
Co: 0.3333 0.6667 0.6892  0.47
H: 0.3333 0.6667 0.9425  0.00
H: 0.3126 0.3623 0.3083  0.00
H: 0.6377 0.9503 0.3083  0.00
H: 0.6667 0.3333 0.0575  0.00
H: 0.3623 0.0497 0.6917  0.00
H: 0.6874 0.6377 0.6917  0.00
H: 0.9503 0.3126 0.6917  0.00
H: 0.0497 0.6874 0.3083  0.00

Summary:
DFT total energy (eV/atom): -4.177

## Mn3SnH (PBE)

Data for crystalline Mn3SnH at its relaxed geometry.

a b c (Å): 5.2970 5.2970 5.0110
angles (deg): 90.00 90.00 120.71
Site moments in Bohr magnetons follow the coordinates.
Fractional positions:
H: 0.1279 0.8721 0.2500  -0.02
H: 0.8721 0.1279 0.7500  -0.02
Mn: 0.8942 0.4983 0.2500  0.38
Mn: 0.5017 0.1058 0.2500  0.38
Mn: 0.4983 0.8942 0.7500  0.38
Mn: 0.1058 0.5017 0.7500  0.38
Mn: 0.0000 0.0000 0.0000  2.70
Mn: 0.0000 0.0000 0.5000  2.70
Sn: 0.4178 0.5822 0.2500  -0.03
Sn: 0.5822 0.4178 0.7500  -0.03

Summary:
DFT total energy (eV/atom): -6.624

## Sr3IrSe (PBE)

Data for crystalline Sr3IrSe at its relaxed geometry.

a b c (Å): 5.6933 5.6933 5.6933
angles (deg): 90.00 90.00 90.00
Fractional positions:
Sr: 0.0000 0.5000 0.0000
Sr: 0.0000 0.0000 0.5000
Sr: 0.5000 0.0000 0.0000
Ir: 0.0000 0.0000 0.0000
Se: 0.5000 0.5000 0.5000

Summary:
Formation energy (no corrections) (eV per atom): -0.473

## BaMgTl (PBE)

Data for crystalline BaMgTl at its relaxed geometry.

a b c (Å): 5.0132 5.0128 8.3440
angles (deg): 90.00 90.00 90.00
Fractional positions:
Ba: 0.5000 0.5000 0.3315
Ba: 0.0000 0.0000 0.6685
Mg: 0.5000 0.0000 0.0000
Mg: 0.0000 0.5000 0.0000
Tl: 0.5000 0.5000 0.7884
Tl: 0.0000 0.0000 0.2116

Summary:
Calculated formation energy (eV per atom): -0.31

In states/eV/f.u., the DOS at the Fermi energy values for the records above are, in order, 3.06; 3.64; 3.66; 3.79; 5.05; 2.59.
In g cm⁻³, the theoretical density values for the records above are, in order, 11.41; 7.89; 7.16; 7.82; 4.81; 5.80.